A plane-wave DFT calculation with PBE was carried out for an optimized crystal structure of TbBiN.

a = 8.651 Å, b = 8.651 Å, c = 7.490 Å
α = 130.59°, β = 130.59°, γ = 82.72°
Fractional positions:
Tb (0.735, 0.265, 0.000)
Tb (0.985, 0.015, 0.500)
Tb (0.265, 0.735, 0.000)
Tb (0.515, 0.485, 0.500)
Bi (0.780, 0.780, 0.561)
Bi (0.220, 0.220, 0.439)
Bi (0.030, 0.530, 0.061)
Bi (0.470, 0.970, 0.939)
N (0.625, 0.375, 0.750)
N (0.125, 0.375, 0.750)
N (0.625, 0.875, 0.250)
N (0.625, 0.375, 0.250)

The value obtained for the raw formation energy is -0.73 eV/f.u. For the total magnetic moment, the calculation gives 0.000 μB/cell. The space group is Fddd, No. 70. Its energy above the most stable polymorph in this dataset is 0.4269 eV/atom.